First-principles (PBE) data for a relaxed structure of CuAs2SeBr, as listed in Alexandria via LeMat-Bulk.

Output
E: -2.331 eV/atom
ΔE_f (raw): 1.380 eV/atom
Symmetry: P4/mmm (123)
Calculated volume: 136.1 Å³ per cell

Cell lengths 5.107, 5.107, 5.217 Å; angles 90.00, 90.00, 90.00 degrees
Site moments in Bohr magnetons follow the coordinates.
Positions (direct):
Se: 0.000 0.000 0.500  0.19
As: 0.000 0.500 0.000  0.15
Br: 0.000 0.000 0.000  0.05
Cu: 0.500 0.500 0.500  0.05
As: 0.500 0.000 0.000  0.15

=====

First-principles (PBE) data for a relaxed structure of CuAsSe2Br, as listed in Alexandria via LeMat-Bulk.

Output
E: -3.629 eV/atom
ΔE_f (raw): -0.152 eV/atom
Symmetry: P2_1/m (11)
Calculated volume: 281.2 Å³ per cell

Cell lengths 5.419, 7.784, 7.225 Å; angles 112.68, 90.00, 90.00 degrees
Positions (direct):
Se: 0.250 0.399 0.103
Br: 0.250 0.894 0.726
Se: 0.250 0.390 0.622
Cu: 0.250 0.610 0.442
As: 0.250 0.640 0.948
Se: 0.750 0.610 0.378
Cu: 0.750 0.390 0.558
As: 0.750 0.360 0.052
Br: 0.750 0.106 0.274
Se: 0.750 0.601 0.897

=====

First-principles (PBE) data for a relaxed structure of CuAsSe2Br, as listed in Alexandria via LeMat-Bulk.

Output
E: -2.927 eV/atom
ΔE_f (raw): 0.550 eV/atom
Symmetry: P4/mmm (123)
Calculated volume: 115.1 Å³ per cell

Cell lengths 4.635, 4.635, 5.359 Å; angles 90.00, 90.00, 90.00 degrees
Positions (direct):
Cu: 0.000 0.000 0.000
Se: 0.000 0.500 0.000
Se: 0.500 0.000 0.000
Br: 0.500 0.500 0.500
As: 0.000 0.000 0.500

=====

Which formula does entry 1 have? CuAs2SeBr

=====

Look up the ΔE_f (raw) of the first one. 1.380 eV/atom

=====

Which value of E does entry 3 give? -2.927 eV/atom

=====

Which of these has the lowest ΔE_f (raw)? number 2